Below is a relaxed TcNiO2 crystal, with properties calculated at the PBE with a Hubbard U level.

abc: 4.787 4.963 4.767
angles: 70.23 74.86 99.43
Fractional positions:
Ni 0.296 0.225 0.212
Ni 0.667 0.149 0.508
Tc 0.714 0.713 0.131
Tc 0.042 0.566 0.822
O 0.381 0.654 0.998
O 0.816 0.515 0.541
O 0.947 0.125 0.091
O 0.360 0.875 0.453

Calculated values
Energy relative to the lowest polymorph listed for this composition (eV per atom): 0.280
Total moment (μB/f.u.): 1.0